No. 1
DFT (GGA-PBE) results for a geometry-optimized Er2Ti2Ge2C structure.

Summary:
- formation enthalpy at 0 K (meV/atom) = -830

a = 4.159 Å, b = 4.159 Å, c = 8.036 Å
α = 105.00°, β = 105.00°, γ = 90.00°
Last column: magnetic moment on the atom in μB.
Positions (direct):
Er 0.166 0.166 0.331  0.14
Er 0.834 0.834 0.669  0.14
Ti 0.000 0.500 0.000  0.22
Ti 0.500 0.000 0.000  0.22
Ge 0.372 0.372 0.743  -0.02
Ge 0.628 0.628 0.257  -0.02
C 0.000 0.000 0.000  -0.02

***

No. 2
DFT (GGA-PBE) results for a geometry-optimized ErTm2GeC structure.

Summary:
- formation enthalpy at 0 K (meV/atom) = -571

a = 4.762 Å, b = 4.733 Å, c = 4.733 Å
α = 90.00°, β = 90.00°, γ = 90.00°
Positions (direct):
Er 0.500 0.000 0.000
Tm 0.000 0.000 0.500
Tm 0.000 0.500 0.000
Ge 0.500 0.500 0.500
C 0.000 0.000 0.000

***

No. 3
DFT (GGA-PBE) results for a geometry-optimized Er2TmGeC structure.

Summary:
- formation enthalpy at 0 K (meV/atom) = -566

a = 4.734 Å, b = 4.763 Å, c = 4.763 Å
α = 90.00°, β = 90.00°, γ = 90.00°
Positions (direct):
Er 0.000 0.000 0.500
Er 0.000 0.500 0.000
Tm 0.500 0.000 0.000
Ge 0.500 0.500 0.500
C 0.000 0.000 0.000

***

No. 4
DFT (GGA-PBE) results for a geometry-optimized Er4HC2N structure.

Summary:
- total DFT energy (no corrections) (eV per formula unit) = -54.3

a = 3.522 Å, b = 6.129 Å, c = 6.033 Å
α = 109.31°, β = 90.00°, γ = 90.00°
Positions (direct):
Er 0.500 0.240 0.257
Er 0.500 0.760 0.743
Er 0.000 0.230 0.733
Er 0.000 0.770 0.267
H 0.500 0.500 0.000
C 0.500 0.000 0.500
C 0.000 0.500 0.500
N 0.000 0.000 0.000

***

No. 5
DFT (GGA-PBE) results for a geometry-optimized ErH9C5N2O8 structure.

Summary:
- total DFT energy (no corrections) (eV per formula unit) = -162.6

a = 6.714 Å, b = 6.714 Å, c = 6.580 Å
α = 73.50°, β = 73.50°, γ = 65.36°
Positions (direct):
Er 0.000 0.000 0.000
H 0.638 0.796 0.406
H 0.204 0.362 0.594
H 0.732 0.510 0.537
H 0.490 0.268 0.463
H 0.466 0.168 0.879
H 0.832 0.534 0.121
H 0.081 0.919 0.500
H 0.458 0.558 0.827
H 0.442 0.542 0.173
C 0.471 0.055 0.039
C 0.945 0.529 0.961
C 0.929 0.071 0.500
C 0.462 0.710 0.707
C 0.290 0.538 0.293
N 0.625 0.672 0.537
N 0.328 0.375 0.463
O 0.312 0.987 0.126
O 0.013 0.688 0.874
O 0.640 0.004 0.122
O 0.996 0.360 0.878
O 0.853 0.158 0.668
O 0.842 0.147 0.332
O 0.321 0.899 0.736
O 0.101 0.679 0.264

***

No. 6
DFT (GGA-PBE) results for a geometry-optimized Er4HC2O structure.

Summary:
- total DFT energy (no corrections) (eV per formula unit) = -54.0

a = 3.524 Å, b = 6.103 Å, c = 5.974 Å
α = 109.21°, β = 90.00°, γ = 90.00°
Positions (direct):
Er 0.500 0.250 0.264
Er 0.500 0.750 0.736
Er 0.000 0.233 0.734
Er 0.000 0.767 0.266
H 0.500 0.500 0.000
C 0.500 0.000 0.500
C 0.000 0.500 0.500
O 0.000 0.000 0.000

***

No. 7
DFT (GGA-PBE) results for a geometry-optimized ErPH5CO7 structure.

Summary:
- total DFT energy (no corrections) (eV per formula unit) = -96.2

a = 6.487 Å, b = 6.883 Å, c = 7.579 Å
α = 110.66°, β = 95.49°, γ = 90.09°
Positions (direct):
Er 0.126 0.222 0.936
Er 0.874 0.778 0.064
P 0.670 0.256 0.020
P 0.330 0.744 0.980
H 0.447 0.837 0.563
H 0.721 0.679 0.645
H 0.546 0.758 0.370
H 0.553 0.163 0.437
H 0.279 0.321 0.355
H 0.454 0.242 0.630
H 0.618 0.298 0.205
H 0.165 0.516 0.316
H 0.835 0.484 0.684
H 0.382 0.702 0.795
C 0.066 0.908 0.501
C 0.934 0.092 0.499
O 0.172 0.925 0.654
O 0.800 0.632 0.741
O 0.804 0.060 0.965
O 0.573 0.779 0.506
O 0.467 0.232 0.892
O 0.944 0.246 0.654
O 0.821 0.432 0.025
O 0.179 0.568 0.975
O 0.533 0.768 0.108
O 0.196 0.940 0.035
O 0.828 0.075 0.346
O 0.056 0.754 0.346
O 0.200 0.368 0.259
O 0.427 0.221 0.494

***

No. 8
DFT (GGA-PBE) results for a geometry-optimized Er6HC3S2 structure.

Summary:
- total DFT energy (no corrections) (eV per formula unit) = -79.2

a = 3.636 Å, b = 7.510 Å, c = 8.335 Å
α = 105.72°, β = 102.60°, γ = 90.00°
Positions (direct):
Er 0.324 0.940 0.649
Er 0.659 0.604 0.319
Er 0.676 0.060 0.351
Er 0.990 0.274 0.980
Er 0.010 0.726 0.020
Er 0.341 0.396 0.681
H 0.500 0.000 0.000
C 0.500 0.500 0.000
C 0.834 0.166 0.668
C 0.166 0.834 0.332
S 0.837 0.674 0.675
S 0.163 0.326 0.325

***

No. 9
DFT (GGA-PBE) results for a geometry-optimized Er8HC3S3 structure.

Summary:
- total DFT energy (no corrections) (eV per formula unit) = -95.8

a = 7.307 Å, b = 7.306 Å, c = 7.462 Å
α = 119.30°, β = 90.00°, γ = 120.00°
Positions (direct):
Er 0.239 0.477 0.216
Er 0.761 0.523 0.784
Er 0.746 0.492 0.218
Er 0.254 0.508 0.782
Er 0.746 0.972 0.219
Er 0.254 0.028 0.781
Er 0.226 0.972 0.219
Er 0.774 0.028 0.781
H 0.000 0.000 0.500
C 0.000 0.000 0.000
C 0.000 0.500 0.000
C 0.500 0.500 0.000
S 0.500 0.000 0.500
S 0.500 0.500 0.500
S 0.000 0.500 0.500

***

No. 10
DFT (GGA-PBE) results for a geometry-optimized Er3HCS structure.

Summary:
- total DFT energy (no corrections) (eV per formula unit) = -36.3

a = 3.607 Å, b = 7.584 Å, c = 7.840 Å
α = 102.44°, β = 90.00°, γ = 90.00°
Positions (direct):
Er 0.750 0.876 0.140
Er 0.250 0.124 0.860
Er 0.250 0.768 0.474
Er 0.750 0.232 0.526
Er 0.750 0.445 0.161
Er 0.250 0.555 0.839
H 0.250 0.076 0.576
H 0.750 0.924 0.424
C 0.250 0.668 0.161
C 0.750 0.332 0.839
S 0.250 0.172 0.220
S 0.750 0.828 0.780

***

No. 11
DFT (GGA-PBE) results for a geometry-optimized Er8HC3S4 structure.

Summary:
- total DFT energy (no corrections) (eV per formula unit) = -104.5

a = 7.356 Å, b = 7.525 Å, c = 7.357 Å
α = 119.27°, β = 120.00°, γ = 90.00°
Positions (direct):
Er 0.248 0.721 0.973
Er 0.248 0.721 0.496
Er 0.263 0.288 0.526
Er 0.725 0.721 0.973
Er 0.275 0.279 0.027
Er 0.737 0.712 0.474
Er 0.752 0.279 0.504
Er 0.752 0.279 0.027
H 0.000 0.500 0.000
C 0.500 0.500 0.000
C 0.500 0.500 0.500
C 0.000 0.500 0.500
S 0.500 0.000 0.000
S 0.500 0.000 0.500
S 0.000 0.000 0.000
S 0.000 0.000 0.500

***

No. 12
DFT (GGA-PBE) results for a geometry-optimized Er8HC3Se4 structure.

Summary:
- total DFT energy (no corrections) (eV per formula unit) = -99.6

a = 7.476 Å, b = 7.761 Å, c = 7.476 Å
α = 118.80°, β = 120.00°, γ = 90.00°
Positions (direct):
Er 0.245 0.709 0.965
Er 0.245 0.709 0.490
Er 0.266 0.298 0.532
Er 0.720 0.709 0.965
Er 0.280 0.291 0.035
Er 0.734 0.702 0.468
Er 0.755 0.291 0.510
Er 0.755 0.291 0.035
H 0.000 0.500 0.000
C 0.500 0.500 0.000
C 0.500 0.500 0.500
C 0.000 0.500 0.500
Se 0.500 0.000 0.000
Se 0.500 0.000 0.500
Se 0.000 0.000 0.000
Se 0.000 0.000 0.500

***

No. 13
DFT (GGA-PBE) results for a geometry-optimized Er3TeHC structure.

Summary:
- total DFT energy (no corrections) (eV per formula unit) = -34.0

a = 3.759 Å, b = 8.048 Å, c = 8.269 Å
α = 104.74°, β = 90.00°, γ = 90.00°
Positions (direct):
Er 0.750 0.861 0.139
Er 0.250 0.139 0.861
Er 0.250 0.779 0.453
Er 0.750 0.221 0.547
Er 0.750 0.460 0.154
Er 0.250 0.540 0.846
Te 0.250 0.180 0.236
Te 0.750 0.820 0.764
H 0.250 0.079 0.585
H 0.750 0.921 0.415
C 0.250 0.666 0.155
C 0.750 0.334 0.845

***

No. 14
DFT (GGA-PBE) results for a geometry-optimized Er6Te3HC2 structure.

Summary:
- total DFT energy (no corrections) (eV per formula unit) = -68.4

a = 3.837 Å, b = 8.190 Å, c = 8.989 Å
α = 105.99°, β = 102.32°, γ = 90.00°
Positions (direct):
Er 0.332 0.863 0.663
Er 0.680 0.549 0.361
Er 0.668 0.137 0.337
Er 0.026 0.243 0.053
Er 0.974 0.757 0.947
Er 0.320 0.451 0.639
Te 0.500 0.500 0.000
Te 0.842 0.165 0.684
Te 0.158 0.835 0.316
H 0.500 0.000 0.000
C 0.831 0.665 0.662
C 0.169 0.335 0.338

***

No. 15
DFT (GGA-PBE) results for a geometry-optimized ErHfC2 structure.

Summary:
- formation enthalpy at 0 K (meV/atom) = -143

a = 3.453 Å, b = 3.453 Å, c = 5.958 Å
α = 73.15°, β = 73.15°, γ = 60.00°
Positions (direct):
Er 0.672 0.672 0.983
Hf 0.497 0.497 0.508
C 0.093 0.093 0.721
C 0.237 0.237 0.288

***

No. 16
DFT (GGA-PBE) results for a geometry-optimized ErHfC2 structure.

Summary:
- formation enthalpy at 0 K (meV/atom) = -491

a = 3.388 Å, b = 3.388 Å, c = 5.965 Å
α = 73.50°, β = 73.50°, γ = 60.00°
Positions (direct):
C 0.257 0.257 0.228
C 0.743 0.743 0.772
Hf 0.000 0.000 0.000
Er 0.500 0.500 0.500

***

No. 17
DFT (GGA-PBE) results for a geometry-optimized ErHf2C structure.

Summary:
- formation enthalpy at 0 K (meV/atom) = -294

a = 3.289 Å, b = 3.289 Å, c = 9.021 Å
α = 79.50°, β = 79.50°, γ = 60.00°
Positions (direct):
C 0.500 0.500 0.500
Hf 0.120 0.120 0.639
Hf 0.880 0.880 0.361
Er 0.000 0.000 0.000

***

No. 18
DFT (GGA-PBE) results for a geometry-optimized Er2HfC structure.

Summary:
- formation enthalpy at 0 K (meV/atom) = 118

a = 3.389 Å, b = 3.389 Å, c = 9.382 Å
α = 79.59°, β = 79.59°, γ = 60.00°
Positions (direct):
C 0.500 0.500 0.500
Hf 0.000 0.000 0.000
Er 0.118 0.118 0.647
Er 0.882 0.882 0.353

***

No. 19
DFT (GGA-PBE) results for a geometry-optimized ErHf2PaC4 structure.

Summary:
- formation enthalpy at 0 K (meV/atom) = -624

a = 3.420 Å, b = 5.995 Å, c = 5.918 Å
α = 70.83°, β = 90.00°, γ = 90.00°
Positions (direct):
Er 0.000 0.500 0.500
Hf 0.000 0.000 0.000
Hf 0.500 0.000 0.500
Pa 0.500 0.500 0.000
C 0.000 0.766 0.750
C 0.000 0.234 0.250
C 0.500 0.766 0.238
C 0.500 0.234 0.762

***

No. 20
DFT (GGA-PBE) results for a geometry-optimized ErHfCS structure.

Summary:
- ΔE_f (raw) (eV per atom) = -1.284

a = 3.482 Å, b = 3.481 Å, c = 6.607 Å
α = 90.00°, β = 105.27°, γ = 119.99°
Positions (direct):
Er 0.498 0.147 0.660
Hf 0.103 0.949 0.068
C 0.320 0.558 0.894
S 0.957 0.376 0.349